LiLaHo2S4 | PBE | relaxed

ΔE_f (raw): -1.882 eV per atom

Lattice parameters (Å, degrees): 3.897 13.078 13.438 90.00 90.00 90.00
Space group Cmcm (No. 63)
One atom of each set of equivalent atoms:
Li  0.000  0.146  0.250 x4
La  0.000  0.121  0.750 x4
Ho  0.000  0.368  0.557 x8
S  0.000  0.000  0.000 x4
S  0.000  0.269  0.122 x8
S  0.000  0.454  0.750 x4

=====

AcGa4Ni3 | PBE | relaxed

DFT formation energy: -3.37 eV per formula unit

Lattice parameters (Å, degrees): 4.150 4.150 8.087 90.00 90.00 90.00
Space group P4/mmm (No. 123)
One atom of each set of equivalent atoms:
Ac  0.000  0.000  0.000 x1
Ga  0.000  0.500  0.332 x4
Ni  0.000  0.000  0.500 x1
Ni  0.500  0.500  0.156 x2

=====

Mg2GeRu2 | PBE | relaxed

DFT formation energy: -1.20 eV per formula unit

Lattice parameters (Å, degrees): 6.305 6.305 4.263 90.00 90.00 90.00
Space group P4/mbm (No. 127)
One atom of each set of equivalent atoms:
Mg  0.164  0.336  0.000 x4
Ge  0.000  0.000  0.500 x2
Ru  0.142  0.642  0.500 x4

=====

BaP2SN | PBE | relaxed

ΔE_f (raw): 1.945 eV per atom

Lattice parameters (Å, degrees): 6.746 6.746 5.958 90.00 90.00 90.00
Space group P4/mmm (No. 123)
One atom of each set of equivalent atoms:
Ba  0.000  0.000  0.000 x1
P  0.000  0.500  0.000 x2
S  0.000  0.000  0.500 x1
N  0.500  0.500  0.500 x1